Computed, not measured: a relaxed LuCuSiNi crystal at the PBE level of DFT.

```
data_LuCuSiNi
_symmetry_space_group_name_H-M 'F -4 3 m'
_symmetry_Int_Tables_number 216
_symmetry_space_group_name_Hall 'F -4 2 3'
_cell_length_a 6.2212
_cell_length_b 6.2212
_cell_length_c 6.2212
_cell_angle_alpha 90.00
_cell_angle_beta 90.00
_cell_angle_gamma 90.00
loop_
_atom_site_label
_atom_site_fract_x
_atom_site_fract_y
_atom_site_fract_z
Lu1 0.0000 0.0000 0.0000
Cu1 0.2500 0.2500 0.2500
Si1 0.2500 0.2500 0.7500
Ni1 0.0000 0.0000 0.5000
```

Calculated values
Total moment ... 0.00 μB per formula unit
Polymorph energy (0 for the lowest one) ... 0.140 eV per atom
Mass density ... 8.97 Mg/m³
Total energy ... -81.47 eV per cell

***

Computed, not measured: a relaxed LuCuSiNi crystal at the PBE level of DFT.

```
data_LuCuSiNi
_symmetry_space_group_name_H-M 'F -4 3 m'
_symmetry_Int_Tables_number 216
_symmetry_space_group_name_Hall 'F -4 2 3'
_cell_length_a 6.1456
_cell_length_b 6.1456
_cell_length_c 6.1456
_cell_angle_alpha 90.00
_cell_angle_beta 90.00
_cell_angle_gamma 90.00
loop_
_atom_site_label
_atom_site_fract_x
_atom_site_fract_y
_atom_site_fract_z
Lu1 0.0000 0.0000 0.0000
Cu1 0.2500 0.2500 0.7500
Si1 0.0000 0.0000 0.5000
Ni1 0.2500 0.2500 0.2500
```

Calculated values
Total moment ... 0.00 μB per formula unit
Polymorph energy (0 for the lowest one) ... 0.000 eV per atom
Mass density ... 9.31 Mg/m³
Total energy ... -83.71 eV per cell

***

Computed, not measured: a relaxed LuCuSiNi crystal at the PBE level of DFT.

```
data_LuCuSiNi
_symmetry_space_group_name_H-M 'F -4 3 m'
_symmetry_Int_Tables_number 216
_symmetry_space_group_name_Hall 'F -4 2 3'
_cell_length_a 6.2464
_cell_length_b 6.2464
_cell_length_c 6.2464
_cell_angle_alpha 90.00
_cell_angle_beta 90.00
_cell_angle_gamma 90.00
loop_
_atom_site_label
_atom_site_fract_x
_atom_site_fract_y
_atom_site_fract_z
Lu1 0.0000 0.0000 0.0000
Cu1 0.0000 0.0000 0.5000
Si1 0.2500 0.2500 0.2500
Ni1 0.2500 0.2500 0.7500
```

Calculated values
Total moment ... 0.00 μB per formula unit
Polymorph energy (0 for the lowest one) ... 0.214 eV per atom
Mass density ... 8.87 Mg/m³
Total energy ... -80.29 eV per cell

***

Computed, not measured: a relaxed LuCuNiSn crystal at the PBE level of DFT.

```
data_LuCuNiSn
_symmetry_space_group_name_H-M 'F -4 3 m'
_symmetry_Int_Tables_number 216
_symmetry_space_group_name_Hall 'F -4 2 3'
_cell_length_a 6.4586
_cell_length_b 6.4586
_cell_length_c 6.4586
_cell_angle_alpha 90.00
_cell_angle_beta 90.00
_cell_angle_gamma 90.00
loop_
_atom_site_label
_atom_site_fract_x
_atom_site_fract_y
_atom_site_fract_z
Lu1 0.0000 0.0000 0.0000
Cu1 0.2500 0.2500 0.7500
Ni1 0.2500 0.2500 0.2500
Sn1 0.0000 0.0000 0.5000
```

Calculated values
Total moment ... 0.00 μB per formula unit
Polymorph energy (0 for the lowest one) ... 0.000 eV per atom
Mass density ... 10.25 Mg/m³
Total energy ... -78.41 eV per cell